No. 1
# PBE CuNi2Os, optimized geometry
# Calculated formation energy in meV/atom: 326
# Volume in Å³ per atom: 12.2
data_CuNi2Os
_space_group_name_H-M_alt 'P 1'
_space_group_IT_number 1
_cell_length_a 4.099
_cell_length_b 4.099
_cell_length_c 4.099
_cell_angle_alpha 60.00
_cell_angle_beta 60.00
_cell_angle_gamma 60.00
loop_
_space_group_symop_operation_xyz
'x,y,z'
loop_
_atom_site_label
_atom_site_type_symbol
_atom_site_fract_x
_atom_site_fract_y
_atom_site_fract_z
Ni1 Ni 0.750 0.750 0.750
Ni2 Ni 0.250 0.250 0.250
Cu1 Cu 0.000 0.000 0.000
Os1 Os 0.500 0.500 0.500

---

No. 2
# PBE SrTmPu2S4, optimized geometry
# Energy relative to the elements, uncorrected in eV/atom: -1.829
# Volume in Å³ per atom: 22.8
data_SrTmPu2S4
_space_group_name_H-M_alt 'P 1'
_space_group_IT_number 1
_cell_length_a 3.990
_cell_length_b 6.918
_cell_length_c 6.998
_cell_angle_alpha 70.50
_cell_angle_beta 90.00
_cell_angle_gamma 90.00
loop_
_space_group_symop_operation_xyz
'x,y,z'
loop_
_atom_site_label
_atom_site_type_symbol
_atom_site_fract_x
_atom_site_fract_y
_atom_site_fract_z
Pu1 Pu 0.000 0.000 0.000
Pu2 Pu 0.500 0.000 0.500
S1 S 0.000 0.756 0.734
S2 S 0.500 0.253 0.739
S3 S 0.000 0.244 0.266
S4 S 0.500 0.747 0.261
Sr1 Sr 0.500 0.500 0.000
Tm1 Tm 0.000 0.500 0.500

---

No. 3
# PBE NaLiPrIn, optimized geometry
# Calculated formation energy in meV/atom: -165
# Volume in Å³ per atom: 26.3
data_NaLiPrIn
_space_group_name_H-M_alt 'P 1'
_space_group_IT_number 1
_cell_length_a 5.300
_cell_length_b 5.300
_cell_length_c 5.300
_cell_angle_alpha 60.00
_cell_angle_beta 60.00
_cell_angle_gamma 60.00
loop_
_space_group_symop_operation_xyz
'x,y,z'
loop_
_atom_site_label
_atom_site_type_symbol
_atom_site_fract_x
_atom_site_fract_y
_atom_site_fract_z
Na1 Na 0.250 0.250 0.250
Pr1 Pr 0.500 0.500 0.500
Li1 Li 0.000 0.000 0.000
In1 In 0.750 0.750 0.750

---

No. 4
# PBE Y12Ho7Sn, optimized geometry
# Calculated formation energy in meV/atom: -4
# Volume in Å³ per atom: 31.4
data_Y12Ho7Sn
_space_group_name_H-M_alt 'P 1'
_space_group_IT_number 1
_cell_length_a 8.761
_cell_length_b 8.761
_cell_length_c 8.761
_cell_angle_alpha 101.14
_cell_angle_beta 101.14
_cell_angle_gamma 101.14
loop_
_space_group_symop_operation_xyz
'x,y,z'
loop_
_atom_site_label
_atom_site_type_symbol
_atom_site_fract_x
_atom_site_fract_y
_atom_site_fract_z
Ho1 Ho 0.098 0.679 0.098
Ho2 Ho 0.321 0.902 0.902
Ho3 Ho 0.679 0.098 0.098
Ho4 Ho 0.902 0.902 0.321
Ho5 Ho 0.500 0.500 0.500
Ho6 Ho 0.098 0.098 0.679
Ho7 Ho 0.902 0.321 0.902
Y1 Y 0.661 0.920 0.660
Y2 Y 0.500 0.760 0.240
Y3 Y 0.240 0.500 0.760
Y4 Y 0.920 0.660 0.661
Y5 Y 0.240 0.760 0.500
Y6 Y 0.080 0.340 0.339
Y7 Y 0.760 0.240 0.500
Y8 Y 0.340 0.339 0.080
Y9 Y 0.339 0.080 0.340
Y10 Y 0.660 0.661 0.920
Y11 Y 0.760 0.500 0.240
Y12 Y 0.500 0.240 0.760
Sn1 Sn 0.000 0.000 0.000

---

No. 5
# PBE TlPdF3, optimized geometry
# Energy relative to the elements, uncorrected in eV/atom: -1.438
# Volume in Å³ per atom: 16.4
data_TlPdF3
_space_group_name_H-M_alt 'P 1'
_space_group_IT_number 1
_cell_length_a 4.345
_cell_length_b 4.345
_cell_length_c 4.345
_cell_angle_alpha 90.00
_cell_angle_beta 90.00
_cell_angle_gamma 90.00
loop_
_space_group_symop_operation_xyz
'x,y,z'
loop_
_atom_site_label
_atom_site_type_symbol
_atom_site_fract_x
_atom_site_fract_y
_atom_site_fract_z
Pd1 Pd 0.000 0.000 0.000
F1 F 0.000 0.500 0.000
F2 F 0.000 0.000 0.500
F3 F 0.500 0.000 0.000
Tl1 Tl 0.500 0.500 0.500

---

No. 6
# PBE Ti2O2F3, optimized geometry
# Energy relative to the elements, uncorrected in eV/atom: -3.093
# Volume in Å³ per atom: 12.5
data_Ti2O2F3
_space_group_name_H-M_alt 'P 1'
_space_group_IT_number 1
_cell_length_a 2.900
_cell_length_b 2.901
_cell_length_c 10.456
_cell_angle_alpha 82.29
_cell_angle_beta 90.00
_cell_angle_gamma 90.00
loop_
_space_group_symop_operation_xyz
'x,y,z'
loop_
_atom_site_label
_atom_site_type_symbol
_atom_site_fract_x
_atom_site_fract_y
_atom_site_fract_z
F1 F 0.000 0.000 0.000
F2 F 0.000 0.177 0.635
F3 F 0.000 0.823 0.365
Ti1 Ti 0.000 0.095 0.805
Ti2 Ti 0.000 0.905 0.195
O1 O 0.500 0.411 0.183
O2 O 0.500 0.589 0.817

---

No. 7
# PBE In2GaGeSe, optimized geometry
# Energy relative to the elements, uncorrected in eV/atom: 0.428
# Volume in Å³ per atom: 28.3
data_In2GaGeSe
_space_group_name_H-M_alt 'P 1'
_space_group_IT_number 1
_cell_length_a 5.275
_cell_length_b 5.079
_cell_length_c 5.275
_cell_angle_alpha 90.00
_cell_angle_beta 90.00
_cell_angle_gamma 90.00
loop_
_space_group_symop_operation_xyz
'x,y,z'
loop_
_atom_site_label
_atom_site_type_symbol
_atom_site_fract_x
_atom_site_fract_y
_atom_site_fract_z
Se1 Se 0.000 0.500 0.000
Ga1 Ga 0.000 0.000 0.000
In1 In 0.500 0.000 0.000
In2 In 0.000 0.000 0.500
Ge1 Ge 0.500 0.500 0.500

---

No. 8
# PBE Li2Ca4In, optimized geometry
# Calculated formation energy in meV/atom: -89
# Volume in Å³ per atom: 31.8
data_Li2Ca4In
_space_group_name_H-M_alt 'P 1'
_space_group_IT_number 1
_cell_length_a 5.467
_cell_length_b 5.467
_cell_length_c 9.154
_cell_angle_alpha 72.63
_cell_angle_beta 72.63
_cell_angle_gamma 60.00
loop_
_space_group_symop_operation_xyz
'x,y,z'
loop_
_atom_site_label
_atom_site_type_symbol
_atom_site_fract_x
_atom_site_fract_y
_atom_site_fract_z
Li1 Li 0.737 0.737 0.789
Li2 Li 0.263 0.263 0.211
Ca1 Ca 0.615 0.615 0.154
Ca2 Ca 0.385 0.385 0.846
Ca3 Ca 0.871 0.871 0.388
Ca4 Ca 0.129 0.129 0.612
In1 In 0.000 0.000 0.000